# 1
VASP calculation (PBE) on an optimized crystal structure of AcHo2Ir9.

Computed properties:
Formation energy, eV/f.u.: -6.5
Volume, Å³ per atom: 18.3
Magnetization, μB/f.u.: 0.00

Lattice parameters (Å, degrees): 5.3838 5.3838 26.2441 90.00 90.00 120.00
With the nearest neighbours (Å) after each atom.
Space group R-3m (No. 166, hexagonal axes)
Unique sites:
Ac 0.0000 0.0000 0.0000 [3 per cell]  18 Ir 3.11-3.47
Ho 0.0000 0.0000 0.1402 [6 per cell]  12 Ir 3.08-3.27, 3 Ho 3.40
Ir 0.0000 0.0000 0.3331 [6 per cell]  6 Ir 2.68-2.69
Ir 0.0000 0.0000 0.5000 [3 per cell]  6 Ir 2.68
Ir 0.0006 0.5003 0.9164 [18 per cell]  7 Ir 2.68-2.70

***

# 2
VASP calculation (PBE) on an optimized crystal structure of AcHo2Ir.

Computed properties:
Formation energy, eV/f.u.: -1.6
Volume, Å³ per atom: 28.7
E above lowest polymorph, meV/atom: 20
Magnetization, μB/f.u.: 0.00

Lattice parameters (Å, degrees): 3.5533 3.5533 9.1080 90.00 90.00 90.00
With the nearest neighbours (Å) after each atom.
Space group P4/mmm (No. 123)
Unique sites:
Ac 0.0000 0.0000 0.0000 [1 per cell]  4 Ac 3.55, 8 Ho 3.89
Ho 0.5000 0.5000 0.3264 [2 per cell]  4 Ir 2.97, 1 Ho 3.16
Ir 0.0000 0.0000 0.5000 [1 per cell]  8 Ho 2.97

***

# 3
VASP calculation (PBE) on an optimized crystal structure of AcHo2Ir.

Computed properties:
Formation energy, eV/f.u.: -1.7
Volume, Å³ per atom: 32.9
E above lowest polymorph, meV/atom: 0
Magnetization, μB/f.u.: 0.00

Lattice parameters (Å, degrees): 4.1110 4.1110 26.9514 90.00 90.00 120.00
With the nearest neighbours (Å) after each atom.
Space group R3m (No. 160, hexagonal axes)
Unique sites:
Ac 0.0000 0.0000 0.0000 [3 per cell]  6 Ho 3.86-3.95, 6 Ac 4.11
Ho 0.0000 0.0000 0.5494 [3 per cell]  3 Ir 2.75
Ho 0.0000 0.0000 0.7795 [3 per cell]  3 Ir 2.75
Ir 0.0000 0.0000 0.1645 [3 per cell]  6 Ho 2.75

***

# 4
VASP calculation (PBE) on an optimized crystal structure of Ac2Ho3Ir2.

Computed properties:
Formation energy, eV/f.u.: -4.0
Volume, Å³ per atom: 29.3
Magnetization, μB/f.u.: 0.00

Lattice parameters (Å, degrees): 12.6382 3.9667 9.2788 90.00 118.16 90.00
With the nearest neighbours (Å) after each atom.
Space group C2/m (No. 12)
Unique sites:
Ac 0.1634 0.0000 0.2950 [4 per cell]  2 Ir 3.06
Ho 0.0000 0.5000 0.5000 [2 per cell]  4 Ir 3.01
Ho 0.1254 0.5000 0.9256 [4 per cell]  3 Ir 2.81-2.93
Ir 0.1682 0.0000 0.7455 [4 per cell]  5 Ho 2.81-3.01, 2 Ac 3.06